1.
## LaTb2SmHo (GGA-PBE)

Data for a relaxed LaTb2SmHo crystal.

POSCAR file:
```
LaTb2SmHo
1.0
4.2353 -5.7999 0.0000
4.2353 5.7999 0.0000
0.0000 0.0000 7.2276
La Tb Sm Ho
2 4 2 2
Direct
0.2329 0.7671 0.7500 La
0.7671 0.2329 0.2500 La
0.1886 0.1886 0.0000 Tb
0.1886 0.1886 0.5000 Tb
0.8114 0.8114 0.0000 Tb
0.8114 0.8114 0.5000 Tb
0.4966 0.5034 0.7500 Sm
0.5034 0.4966 0.2500 Sm
0.2211 0.7789 0.2500 Ho
0.7789 0.2211 0.7500 Ho
```

- Size of the total moment: 0.0 μB/f.u.
- Density: 7221 kg/m³
- Electronic total energy: -43.34 eV per cell


2.
## PaInSbAu (GGA-PBE)

Data for a relaxed PaInSbAu crystal.

POSCAR file:
```
PaInSbAu
1.0
0.0000 3.6453 3.6453
3.6453 0.0000 3.6453
3.6453 3.6453 0.0000
Pa In Sb Au
1 1 1 1
Direct
0.0000 0.0000 0.0000 Pa
0.5000 0.5000 0.5000 In
0.7500 0.7500 0.7500 Sb
0.2500 0.2500 0.2500 Au
```

- Size of the total moment: 0.4 μB/f.u.
- Density: 11391 kg/m³
- ΔE_f (raw): -20.02 kJ/mol of atoms
- Electronic total energy: -20.46 eV per cell


3.
## H3RuBr (GGA-PBE)

Data for a relaxed H3RuBr crystal.

POSCAR file:
```
H3RuBr
1.0
3.6358 0.0000 0.0000
0.0000 3.6358 0.0000
0.0000 0.0000 3.6358
H Ru Br
3 1 1
Direct
0.0000 0.0000 0.5000 H
0.0000 0.5000 0.0000 H
0.5000 0.0000 0.0000 H
0.0000 0.0000 0.0000 Ru
0.5000 0.5000 0.5000 Br
```

- Size of the total moment: 0.0 μB/f.u.
- Density: 6357 kg/m³
- Energy above the lowest structure with this stoichiometry: 0 meV per atom
- Electronic total energy: -17.35 eV per cell


4.
## AcTbInCu (GGA-PBE)

Data for a relaxed AcTbInCu crystal.

POSCAR file:
```
AcTbInCu
1.0
0.0000 3.8401 3.8401
3.8401 0.0000 3.8401
3.8401 3.8401 0.0000
Ac Tb In Cu
1 1 1 1
Direct
0.0000 0.0000 0.0000 Ac
0.5000 0.5000 0.5000 Tb
0.7500 0.7500 0.7500 In
0.2500 0.2500 0.2500 Cu
```

- Size of the total moment: 0.0 μB/f.u.
- Density: 8273 kg/m³
- Electronic total energy: -16.39 eV per cell


5.
## La2HfAl2 (GGA-PBE)

Data for a relaxed La2HfAl2 crystal.

POSCAR file:
```
La2HfAl2
1.0
7.5878 0.0000 0.0000
0.0000 7.5878 0.0000
0.0000 0.0000 4.7566
La Hf Al
4 2 4
Direct
0.1733 0.3267 0.0000 La
0.3267 0.8267 0.0000 La
0.6733 0.1733 0.0000 La
0.8267 0.6733 0.0000 La
0.0000 0.0000 0.5000 Hf
0.5000 0.5000 0.5000 Hf
0.1269 0.6269 0.5000 Al
0.3731 0.1269 0.5000 Al
0.6269 0.8731 0.5000 Al
0.8731 0.3731 0.5000 Al
```

- Size of the total moment: 0.0 μB/f.u.
- Density: 6188 kg/m³
- Electronic total energy: -55.96 eV per cell


6.
## SmZnInIr (GGA-PBE)

Data for a relaxed SmZnInIr crystal.

POSCAR file:
```
SmZnInIr
1.0
0.0000 3.4239 3.4239
3.4239 0.0000 3.4239
3.4239 3.4239 0.0000
Sm Zn In Ir
1 1 1 1
Direct
0.0000 0.0000 0.0000 Sm
0.2500 0.2500 0.2500 Zn
0.5000 0.5000 0.5000 In
0.7500 0.7500 0.7500 Ir
```

- Size of the total moment: 0.0 μB/f.u.
- Density: 10814 kg/m³
- Electronic total energy: -18.98 eV per cell


> Among the records above, which one has the lowest density?

La2HfAl2